Pm4SmY8 | GGA-PBE | relaxed

```
Pm4SmY8
1.0
-4.9869 -0.5576 5.4600
-2.0524 -1.1683 -7.0294
5.9770 -8.0793 -0.4024
Pm Sm Y
4 1 8
Direct
0.0000 0.0000 0.0000 Pm
0.0000 0.5000 0.0000 Pm
0.5000 0.5000 0.0000 Pm
0.5000 0.0000 0.0000 Pm
0.0000 0.5000 0.5000 Sm
0.5650 0.7825 0.3475 Y
0.4350 0.2175 0.6525 Y
0.5018 0.2509 0.3096 Y
0.9413 0.1922 0.6904 Y
0.4982 0.7491 0.6904 Y
0.9413 0.7491 0.6904 Y
0.0587 0.2509 0.3096 Y
0.0587 0.8078 0.3096 Y
```

Calculated values
The calculated formation energy is 0.197 eV per atom. The calculation puts the electronic total energy at -5.6061 eV per atom.